(1)
{
  "formula": "Li5MgSn",
  "functional": "PBE-GGA",
  "state": "optimized geometry",
  "total_energy_ev_per_atom": -2.272,
  "n_ef_per_ev_atom": 0.350,
  "lattice_angstrom": [[5.676, 0.600, 0.644], [2.369, 5.193, 0.644], [3.731, 2.686, 10.205]],
  "species": ["Li", "Li", "Li", "Li", "Li", "Li", "Li", "Li", "Li", "Li", "Mg", "Mg", "Sn", "Sn"],
  "fractional_positions": [[0.590, 0.849, 0.257], [0.292, 0.347, 0.499], [0.849, 0.590, 0.757], [0.180, 0.820, 0.250], [0.653, 0.708, 0.001], [0.347, 0.292, 0.999], [0.820, 0.180, 0.750], [0.151, 0.410, 0.243], [0.708, 0.653, 0.501], [0.410, 0.151, 0.743], [0.720, 0.280, 0.250], [0.280, 0.720, 0.750], [0.000, 0.000, 0.000], [0.000, 0.000, 0.500]]
}

(2)
{
  "formula": "Cs2Cu2Br7",
  "functional": "PBE-GGA",
  "state": "optimized geometry",
  "total_energy_ev_per_atom": -2.753,
  "n_ef_per_ev_atom": 0.298,
  "lattice_angstrom": [[-4.015, 3.680, -2.836], [-5.681, -4.465, 5.467], [3.553, 5.918, 5.870]],
  "species": ["Cs", "Cs", "Cu", "Cu", "Br", "Br", "Br", "Br", "Br", "Br", "Br"],
  "fractional_positions": [[0.500, 0.780, 0.220], [0.500, 0.220, 0.780], [0.772, 0.296, 0.296], [0.228, 0.704, 0.704], [0.839, 0.478, 0.157], [0.161, 0.843, 0.522], [0.161, 0.522, 0.843], [0.839, 0.157, 0.478], [0.611, 0.827, 0.827], [0.000, 0.000, 0.000], [0.389, 0.173, 0.173]]
}

(3)
{
  "formula": "PuTiBr",
  "functional": "PBE-GGA",
  "state": "optimized geometry",
  "total_energy_ev_per_atom": -8.275,
  "n_ef_per_ev_atom": 0.732,
  "lattice_angstrom": [[-2.266, -2.161, 1.609], [1.508, -1.446, -3.671], [7.629, -2.540, 7.333]],
  "species": ["Ti", "Ti", "Pu", "Pu", "Br", "Br"],
  "fractional_positions": [[0.037, 0.073, 0.189], [0.963, 0.927, 0.811], [0.652, 0.305, 0.006], [0.348, 0.695, 0.994], [0.787, 0.575, 0.333], [0.213, 0.425, 0.667]]
}

What did the second record say?
{
  "formula": "Cs2Cu2Br7",
  "functional": "PBE-GGA",
  "state": "optimized geometry",
  "total_energy_ev_per_atom": -2.753,
  "n_ef_per_ev_atom": 0.298,
  "lattice_angstrom": [[-4.015, 3.680, -2.836], [-5.681, -4.465, 5.467], [3.553, 5.918, 5.870]],
  "species": ["Cs", "Cs", "Cu", "Cu", "Br", "Br", "Br", "Br", "Br", "Br", "Br"],
  "fractional_positions": [[0.500, 0.780, 0.220], [0.500, 0.220, 0.780], [0.772, 0.296, 0.296], [0.228, 0.704, 0.704], [0.839, 0.478, 0.157], [0.161, 0.843, 0.522], [0.161, 0.522, 0.843], [0.839, 0.157, 0.478], [0.611, 0.827, 0.827], [0.000, 0.000, 0.000], [0.389, 0.173, 0.173]]
}